[1]
Density functional theory data (SCAN) for Zr2CuIr at its PBEsol-relaxed geometry.

Output
Its calculated formation energy is -0.622 eV per atom. Its total moment is 0.00 μB per formula unit. Its volume is 68.3 Å³/cell.

Cell lengths 3.099, 3.344, 6.595 Å; angles 90.00, 90.00, 90.00 degrees
Fractional positions:
Zr: 0.000 0.000 0.248
Zr: 0.000 0.000 0.752
Cu: 0.500 0.500 0.000
Ir: 0.500 0.500 0.500

[2]
Density functional theory data (SCAN) for ZrCuIr2 at its PBEsol-relaxed geometry.

Output
Its calculated formation energy is -0.099 eV per atom. Its total moment is 0.00 μB per formula unit. Its volume is 59.8 Å³/cell.

Cell lengths 8.951, 8.951, 8.951 Å; angles 17.99, 17.99, 17.99 degrees
Fractional positions:
Zr: 0.000 0.000 0.000
Cu: 0.500 0.500 0.500
Ir: 0.245 0.245 0.245
Ir: 0.755 0.755 0.755